# 1
Compound: SmSc2CdC
Source: Alexandria
Functional: PBE
Structure: optimized geometry

For the calculated density, the calculation gives 5.66 g/cm3. As for the energy of formation: -34 kJ per mole of atoms.

The space group is P4/mmm (No. 123) and the conventional cell measures 4.5868, 4.5868 and 5.0847 Å, with angles of 90.00, 90.00 and 90.00 degrees. Symmetry generates all atoms from Sm at (0.0000, 0.0000, 0.0000), Sc at (0.0000, 0.5000, 0.5000), Cd at (0.5000, 0.5000, 0.0000) and C at (0.0000, 0.0000, 0.5000).

***

# 2
Compound: Tb2ScCdC
Source: Alexandria
Functional: PBE
Structure: optimized geometry

For the calculated density, the calculation gives 7.16 g/cm3. As for the energy of formation: -35 kJ per mole of atoms.

The space group is P4/mmm (No. 123) and the conventional cell measures 5.0293, 5.0293 and 4.4702 Å, with angles of 90.00, 90.00 and 90.00 degrees. Symmetry generates all atoms from Tb at (0.0000, 0.5000, 0.0000), Sc at (0.0000, 0.0000, 0.5000), Cd at (0.5000, 0.5000, 0.5000) and C at (0.0000, 0.0000, 0.0000).

***

Q: What is the formula in the first record?
A: SmSc2CdC

***

Q: Among the records above, which one has the lowest energy of formation?
A: Tb2ScCdC

***

Copy entry 1 word for word.
Compound: SmSc2CdC
Source: Alexandria
Functional: PBE
Structure: optimized geometry

For the calculated density, the calculation gives 5.66 g/cm3. As for the energy of formation: -34 kJ per mole of atoms.

The space group is P4/mmm (No. 123) and the conventional cell measures 4.5868, 4.5868 and 5.0847 Å, with angles of 90.00, 90.00 and 90.00 degrees. Symmetry generates all atoms from Sm at (0.0000, 0.0000, 0.0000), Sc at (0.0000, 0.5000, 0.5000), Cd at (0.5000, 0.5000, 0.0000) and C at (0.0000, 0.0000, 0.5000).